The following is a DFT calculation (PBE-GGA) of a geometry-optimized Mn2V8Ga structure.

Output
**Magnetic moment**: 0.000 μB per cell
**E_form**: 0.3 eV/f.u.
**Crystal system**: monoclinic
**Density of states at the Fermi level**: 1.07 states/eV/atom
**Electronic total energy**: -0.6280 Ry/atom

Cell lengths 4.6323, 7.0441, 7.0441 Å; angles 40.38, 81.82, 81.82 degrees
Last column: nearest neighbours and their distance in Å.
Positions (direct):
Mn (0.6380, 0.7415, 0.7415)  5 V 2.19-2.45
Mn (0.3620, 0.2585, 0.2585)  5 V 2.19-2.45
V (0.9078, 0.5904, 0.5904)  1 Mn 2.19, 1 V 2.41
V (0.5952, 0.6566, 0.1517)  5 V 2.41-2.63, 2 Mn 2.45-2.65
V (0.5952, 0.1517, 0.6566)  5 V 2.41-2.63, 2 Mn 2.45-2.65
V (0.8902, 0.2163, 0.2163)  2 Mn 2.34-2.43
V (0.4048, 0.8483, 0.3434)  5 V 2.41-2.63, 2 Mn 2.45-2.65
V (0.1098, 0.7837, 0.7837)  2 Mn 2.34-2.43
V (0.0922, 0.4096, 0.4096)  1 Mn 2.19, 1 V 2.41
V (0.4048, 0.3434, 0.8483)  5 V 2.41-2.63, 2 Mn 2.45-2.65
Ga (0.0000, 0.0000, 0.0000)  10 V 2.70-2.83